(1)
# MnFe2Cu GGA-PBE optimized geometry
# Formation enthalpy at 0 K   0.143 eV/atom
# V   11.263 A^3/atom
data_MnFe2Cu
_chemical_formula_sum 'Mn3 Fe6 Cu3'
_cell_length_a 2.4964
_cell_length_b 2.4964
_cell_length_c 25.0432
_cell_angle_alpha 90.00
_cell_angle_beta 90.00
_cell_angle_gamma 120.00
_symmetry_space_group_name_H-M 'R -3 m'
_symmetry_Int_Tables_number 166
_symmetry_space_group_name_Hall '-R 3 2"'
loop_
_atom_site_label
_atom_site_fract_x
_atom_site_fract_y
_atom_site_fract_z
Mn1 0.0000 0.0000 0.0000
Fe1 0.0000 0.0000 0.2526
Cu1 0.0000 0.0000 0.5000

***

(2)
# Ta2ReH2 GGA-PBE optimized geometry
# E above lowest polymorph   0.0000 eV/atom
# V   11.407 A^3/atom
data_Ta2ReH2
_chemical_formula_sum 'Ta4 Re2 H4'
_cell_length_a 3.1120
_cell_length_b 3.1120
_cell_length_c 11.7786
_cell_angle_alpha 90.00
_cell_angle_beta 90.00
_cell_angle_gamma 90.00
_symmetry_space_group_name_H-M 'I 4/m m m'
_symmetry_Int_Tables_number 139
_symmetry_space_group_name_Hall '-I 4 2'
loop_
_atom_site_label
_atom_site_fract_x
_atom_site_fract_y
_atom_site_fract_z
Ta1 0.0000 0.0000 0.1400
Re1 0.0000 0.0000 0.5000
H1 0.0000 0.5000 0.2500

***

(3)
# HoMgScAg GGA-PBE optimized geometry
# E above lowest polymorph   0.0422 eV/atom
# Formation enthalpy at 0 K   -0.121 eV/atom
# V   23.361 A^3/atom
data_HoMgScAg
_chemical_formula_sum 'Ho4 Mg4 Sc4 Ag4'
_cell_length_a 7.2034
_cell_length_b 7.2034
_cell_length_c 7.2034
_cell_angle_alpha 90.00
_cell_angle_beta 90.00
_cell_angle_gamma 90.00
_symmetry_space_group_name_H-M 'F -4 3 m'
_symmetry_Int_Tables_number 216
_symmetry_space_group_name_Hall 'F -4 2 3'
loop_
_atom_site_label
_atom_site_fract_x
_atom_site_fract_y
_atom_site_fract_z
Ho1 0.0000 0.0000 0.0000
Mg1 0.2500 0.2500 0.7500
Sc1 0.0000 0.0000 0.5000
Ag1 0.2500 0.2500 0.2500

***

(4)
# MgAsOs GGA-PBE optimized geometry
# Formation enthalpy at 0 K   -0.048 eV/atom
# V   17.015 A^3/atom
data_MgAsOs
_chemical_formula_sum 'Mg2 As2 Os2'
_cell_length_a 3.1058
_cell_length_b 3.1058
_cell_length_c 10.5838
_cell_angle_alpha 90.00
_cell_angle_beta 90.00
_cell_angle_gamma 90.00
_symmetry_space_group_name_H-M 'I 4 m m'
_symmetry_Int_Tables_number 107
_symmetry_space_group_name_Hall 'I 4 -2'
loop_
_atom_site_label
_atom_site_fract_x
_atom_site_fract_y
_atom_site_fract_z
Mg1 0.0000 0.0000 0.0000
As1 0.0000 0.0000 0.7077
Os1 0.0000 0.0000 0.3256

***

(5)
# Zr4TlRh GGA-PBE optimized geometry
# E above lowest polymorph   0.5395 eV/atom
# Formation enthalpy at 0 K   0.260 eV/atom
# V   21.518 A^3/atom
data_Zr4TlRh
_chemical_formula_sum 'Zr16 Tl4 Rh4'
_cell_length_a 8.0231
_cell_length_b 8.0231
_cell_length_c 8.0231
_cell_angle_alpha 90.00
_cell_angle_beta 90.00
_cell_angle_gamma 90.00
_symmetry_space_group_name_H-M 'F -4 3 m'
_symmetry_Int_Tables_number 216
_symmetry_space_group_name_Hall 'F -4 2 3'
loop_
_atom_site_label
_atom_site_fract_x
_atom_site_fract_y
_atom_site_fract_z
Zr1 0.1245 0.1245 0.1245
Tl1 0.0000 0.0000 0.5000
Rh1 0.2500 0.2500 0.7500

***

(6)
# HfSiPt3 GGA-PBE optimized geometry
# E above lowest polymorph   1.0495 eV/atom
# Uncorrected formation energy   4.25 eV per formula unit
# V   23.931 A^3/atom
data_HfSiPt3
_chemical_formula_sum 'Hf1 Si1 Pt3'
_cell_length_a 4.9277
_cell_length_b 4.9277
_cell_length_c 4.9277
_cell_angle_alpha 90.00
_cell_angle_beta 90.00
_cell_angle_gamma 90.00
_symmetry_space_group_name_H-M 'P m -3 m'
_symmetry_Int_Tables_number 221
_symmetry_space_group_name_Hall '-P 4 2 3'
loop_
_atom_site_label
_atom_site_fract_x
_atom_site_fract_y
_atom_site_fract_z
Hf1 0.0000 0.0000 0.0000
Si1 0.5000 0.5000 0.5000
Pt1 0.0000 0.0000 0.5000

***

(7)
# BeSnBr4 GGA-PBE optimized geometry
# Uncorrected formation energy   -3.88 eV per formula unit
# V   32.161 A^3/atom
data_BeSnBr4
_chemical_formula_sum 'Be2 Sn2 Br8'
_cell_length_a 7.1281
_cell_length_b 7.1281
_cell_length_c 7.5956
_cell_angle_alpha 90.00
_cell_angle_beta 90.00
_cell_angle_gamma 90.00
_symmetry_space_group_name_H-M 'I -4'
_symmetry_Int_Tables_number 82
loop_
_symmetry_equiv_pos_as_xyz
'x,y,z'
'y,-x,-z'
'-x,-y,z'
'-y,x,-z'
'x+1/2,y+1/2,z+1/2'
'y+1/2,-x+1/2,-z+1/2'
'-x+1/2,-y+1/2,z+1/2'
'-y+1/2,x+1/2,-z+1/2'
loop_
_atom_site_label
_atom_site_fract_x
_atom_site_fract_y
_atom_site_fract_z
Be1 0.0000 0.0000 0.0000
Sn1 0.0000 0.5000 0.2500
Br1 0.2271 0.7701 0.9994

***

(8)
# Nd5Tm7 GGA-PBE optimized geometry
# E above lowest polymorph   0.0000 eV/atom
# Formation enthalpy at 0 K   0.008 eV/atom
# V   32.069 A^3/atom
data_Nd5Tm7
_chemical_formula_sum 'Nd10 Tm14'
_cell_length_a 18.5502
_cell_length_b 3.5918
_cell_length_c 13.1050
_cell_angle_alpha 90.00
_cell_angle_beta 118.18
_cell_angle_gamma 90.00
_symmetry_space_group_name_H-M 'C 1 2/m 1'
_symmetry_Int_Tables_number 12
loop_
_symmetry_equiv_pos_as_xyz
'x,y,z'
'-x,-y,-z'
'-x,y,-z'
'x,-y,z'
'x+1/2,y+1/2,z'
'-x+1/2,-y+1/2,-z'
'-x+1/2,y+1/2,-z'
'x+1/2,-y+1/2,z'
loop_
_atom_site_label
_atom_site_fract_x
_atom_site_fract_y
_atom_site_fract_z
Nd1 0.0000 0.0000 0.0000
Nd2 0.1649 0.0000 0.4971
Nd3 0.1949 0.5000 0.7513
Tm1 0.0000 0.5000 0.5000
Tm2 0.0276 0.0000 0.7506
Tm3 0.1369 0.5000 0.2478
Tm4 0.1657 0.5000 0.9962

***

(9)
# KSc3Ti GGA-PBE optimized geometry
# E above lowest polymorph   0.0000 eV/atom
# Formation enthalpy at 0 K   0.667 eV/atom
# V   30.158 A^3/atom
data_KSc3Ti
_chemical_formula_sum 'K1 Sc3 Ti1'
_cell_length_a 5.3226
_cell_length_b 5.3226
_cell_length_c 5.3226
_cell_angle_alpha 90.00
_cell_angle_beta 90.00
_cell_angle_gamma 90.00
_symmetry_space_group_name_H-M 'P m -3 m'
_symmetry_Int_Tables_number 221
_symmetry_space_group_name_Hall '-P 4 2 3'
loop_
_atom_site_label
_atom_site_fract_x
_atom_site_fract_y
_atom_site_fract_z
K1 0.0000 0.0000 0.0000
Sc1 0.0000 0.5000 0.5000
Ti1 0.5000 0.5000 0.5000

***

(10)
# Ce2PaCuN5 GGA-PBE optimized geometry
# Uncorrected formation energy   -8.64 eV per formula unit
# V   13.816 A^3/atom
data_Ce2PaCuN5
_chemical_formula_sum 'Ce8 Pa4 Cu4 N20'
_cell_length_a 3.4628
_cell_length_b 13.6843
_cell_length_c 10.4962
_cell_angle_alpha 90.00
_cell_angle_beta 90.00
_cell_angle_gamma 90.00
_symmetry_space_group_name_H-M 'C m c 21'
_symmetry_Int_Tables_number 36
loop_
_symmetry_equiv_pos_as_xyz
'x,y,z'
'-x,-y,z+1/2'
'-x,y,z'
'x,-y,z+1/2'
'x+1/2,y+1/2,z'
'-x+1/2,-y+1/2,z+1/2'
'-x+1/2,y+1/2,z'
'x+1/2,-y+1/2,z+1/2'
loop_
_atom_site_label
_atom_site_fract_x
_atom_site_fract_y
_atom_site_fract_z
Ce1 0.0000 0.1173 0.0000
Ce2 0.0000 0.1230 0.6207
Pa1 0.0000 0.1926 0.3185
Cu1 0.0000 0.4995 0.3026
N1 0.0000 0.0351 0.3885
N2 0.0000 0.2923 0.9629
N3 0.0000 0.2963 0.6757
N4 0.0000 0.3542 0.3379
N5 0.0000 0.4911 0.1124

***

(11)
# BeAgPt2 GGA-PBE optimized geometry
# Formation enthalpy at 0 K   -0.285 eV/atom
# V   14.396 A^3/atom
data_BeAgPt2
_chemical_formula_sum 'Be2 Ag2 Pt4'
_cell_length_a 9.9449
_cell_length_b 2.8257
_cell_length_c 4.6068
_cell_angle_alpha 90.00
_cell_angle_beta 117.18
_cell_angle_gamma 90.00
_symmetry_space_group_name_H-M 'C 1 2/m 1'
_symmetry_Int_Tables_number 12
loop_
_symmetry_equiv_pos_as_xyz
'x,y,z'
'-x,-y,-z'
'-x,y,-z'
'x,-y,z'
'x+1/2,y+1/2,z'
'-x+1/2,-y+1/2,-z'
'-x+1/2,y+1/2,-z'
'x+1/2,-y+1/2,z'
loop_
_atom_site_label
_atom_site_fract_x
_atom_site_fract_y
_atom_site_fract_z
Be1 0.0000 0.0000 0.0000
Ag1 0.0000 0.5000 0.5000
Pt1 0.2047 0.5000 0.2048

***

(12)
# RbAg2Sb GGA-PBE optimized geometry
# Uncorrected formation energy   -0.71 eV per formula unit
# V   33.139 A^3/atom
data_RbAg2Sb
_chemical_formula_sum 'Rb2 Ag4 Sb2'
_cell_length_a 4.8659
_cell_length_b 8.1187
_cell_length_c 7.1338
_cell_angle_alpha 90.00
_cell_angle_beta 109.83
_cell_angle_gamma 90.00
_symmetry_space_group_name_H-M 'P 1 21/m 1'
_symmetry_Int_Tables_number 11
loop_
_symmetry_equiv_pos_as_xyz
'x,y,z'
'-x,-y,-z'
'-x,y+1/2,-z'
'x,-y+1/2,z'
loop_
_atom_site_label
_atom_site_fract_x
_atom_site_fract_y
_atom_site_fract_z
Rb1 0.0440 0.2500 0.0921
Ag1 0.2363 0.5769 0.4724
Sb1 0.3299 0.2500 0.6608